Record 1
DFT (PBE) results for crystalline SrLi4 at its relaxed geometry.

Cell: 8.9928 8.9928 8.9928 Å, 109.47 109.47 109.47°
Fractional positions:
Li 0.3559 0.0000 0.3559
Li 0.5000 0.2501 0.7501
Li 0.2501 0.7501 0.5000
Li 0.8041 0.8041 0.8041
Li 0.6441 0.0000 0.6441
Li 0.6441 0.6441 0.0000
Li 0.0000 0.3559 0.3559
Li 0.3559 0.3559 0.0000
Li 0.2499 0.5000 0.7499
Li 0.5000 0.7499 0.2499
Li 0.0000 0.6441 0.6441
Li 0.0000 0.1959 0.0000
Li 0.1959 0.0000 0.0000
Li 0.7501 0.5000 0.2501
Li 0.7499 0.2499 0.5000
Li 0.0000 0.0000 0.1959
Sr 0.0000 0.5597 0.0000
Sr 0.4403 0.4403 0.4403
Sr 0.5597 0.0000 0.0000
Sr 0.0000 0.0000 0.5597

Results
Energy relative to the elements: 0.0608 eV/atom


Record 2
DFT (PBE) results for crystalline CaPm4Hg5 at its relaxed geometry.

Cell: 3.8003 3.8003 19.1339 Å, 90.00 90.00 90.00°
Site moments in Bohr magnetons follow the coordinates.
Fractional positions:
Ca 0.0000 0.0000 0.0000  0.00
Pm 0.0000 0.0000 0.7998  0.13
Pm 0.0000 0.0000 0.6004  0.20
Pm 0.0000 0.0000 0.2002  0.13
Pm 0.0000 0.0000 0.3996  0.20
Hg 0.5000 0.5000 0.5000  0.02
Hg 0.5000 0.5000 0.1021  0.01
Hg 0.5000 0.5000 0.8979  0.01
Hg 0.5000 0.5000 0.3004  0.01
Hg 0.5000 0.5000 0.6996  0.01

Results
Energy relative to the elements: -0.4948 eV/atom


Record 3
DFT (PBE) results for crystalline Sm2TcN4 at its relaxed geometry.

Cell: 3.8578 3.8578 6.8437 Å, 73.63 73.63 90.00°
Fractional positions:
N 0.8309 0.8309 0.3382
N 0.1691 0.1691 0.6618
N 0.5000 0.0000 0.0000
N 0.0000 0.5000 0.0000
Sm 0.6468 0.6468 0.7064
Sm 0.3532 0.3532 0.2936
Tc 0.0000 0.0000 0.0000

Results
ΔE_f (raw): -5.44 eV per formula unit


Record 4
DFT (PBE) results for crystalline KNa2HgPt at its relaxed geometry.

Cell: 5.4790 5.4790 5.4064 Å, 90.00 90.00 90.00°
Fractional positions:
Na 0.5000 0.0000 0.0000
Na 0.0000 0.5000 0.0000
Pt 0.0000 0.0000 0.0000
Hg 0.0000 0.0000 0.5000
K 0.5000 0.5000 0.5000

Results
Energy relative to the elements: -0.1309 eV/atom


Record 5
DFT (PBE) results for crystalline InPNCl2 at its relaxed geometry.

Cell: 5.1872 5.1872 5.9088 Å, 90.00 90.00 90.00°
Site moments in Bohr magnetons follow the coordinates.
Fractional positions:
P 0.0000 0.0000 0.5000  -0.82
Cl 0.5000 0.0000 0.0000  -0.01
Cl 0.0000 0.5000 0.0000  -0.01
N 0.5000 0.5000 0.5000  1.88
In 0.0000 0.0000 0.0000  0.03

Results
ΔE_f (raw): 5.08 eV per formula unit


Record 6
DFT (PBE) results for crystalline InPbW at its relaxed geometry.

Cell: 5.4555 5.4555 5.4555 Å, 141.24 141.22 55.99°
Fractional positions:
In 0.0105 0.0105 0.0000
W 0.6647 0.6647 0.0000
Pb 0.3248 0.3248 0.0000

Results
Energy relative to the elements: 0.8287 eV/atom


Record 7
DFT (PBE) results for crystalline Ti5CdGa4 at its relaxed geometry.

Cell: 2.8278 2.8278 20.3920 Å, 90.00 90.00 90.00°
Fractional positions:
Ga 0.0000 0.0000 0.5972
Ga 0.0000 0.0000 0.2094
Ga 0.0000 0.0000 0.7906
Ga 0.0000 0.0000 0.4028
Ti 0.5000 0.5000 0.8834
Ti 0.5000 0.5000 0.3053
Ti 0.5000 0.5000 0.5000
Ti 0.5000 0.5000 0.1166
Ti 0.5000 0.5000 0.6947
Cd 0.0000 0.0000 0.0000

Results
Energy relative to the elements: -0.3771 eV/atom


Record 8
DFT (PBE) results for crystalline MnAl2Au at its relaxed geometry.

Cell: 4.5753 4.5753 5.0239 Å, 78.08 78.08 36.49°
Site moments in Bohr magnetons follow the coordinates.
Fractional positions:
Al 0.9969 0.9969 0.0176  -0.03
Al 0.5031 0.5031 0.4824  -0.03
Mn 0.2500 0.2500 0.2500  2.55
Au 0.7500 0.7500 0.7500  -0.02

Results
Energy relative to the elements: -0.1498 eV/atom


Record 9
DFT (PBE) results for crystalline TaTcAs2H at its relaxed geometry.

Cell: 4.4607 3.3718 4.4607 Å, 90.00 90.00 90.00°
Fractional positions:
Tc 0.5000 0.5000 0.5000
H 0.0000 0.0000 0.0000
As 0.5000 0.0000 0.0000
As 0.0000 0.0000 0.5000
Ta 0.0000 0.5000 0.0000

Results
Electronic total energy: -0.49929 Ry/atom


Record 10
DFT (PBE) results for crystalline LiScBiPd at its relaxed geometry.

Cell: 4.8105 4.8105 4.8105 Å, 60.00 60.00 60.00°
Fractional positions:
Bi 0.7500 0.7500 0.7500
Sc 0.5000 0.5000 0.5000
Pd 0.2500 0.2500 0.2500
Li 0.0000 0.0000 0.0000

Results
Energy relative to the elements: -0.5845 eV/atom


Record 11
DFT (PBE) results for crystalline Mo2C3 at its relaxed geometry.

Cell: 3.7630 3.7630 4.2630 Å, 90.00 90.00 120.00°
Fractional positions:
Mo 0.3333 0.6667 0.7784
Mo 0.6667 0.3333 0.2216
C 0.3333 0.6667 0.2877
C 0.6667 0.3333 0.7123
C 0.0000 0.0000 0.0000

Results
Energy relative to the elements: 1.0576 eV/atom


Record 12
DFT (PBE) results for crystalline KInGaI3 at its relaxed geometry.

Cell: 4.8475 9.8514 11.8468 Å, 108.60 90.00 90.00°
Fractional positions:
I 0.2500 0.0862 0.8944
I 0.2500 0.5662 0.8606
I 0.7500 0.4338 0.1394
I 0.7500 0.1694 0.4592
I 0.2500 0.8306 0.5408
I 0.7500 0.9138 0.1056
Ga 0.2500 0.1612 0.6414
Ga 0.7500 0.8388 0.3586
In 0.2500 0.6904 0.1473
In 0.7500 0.3096 0.8527
K 0.2500 0.1970 0.2128
K 0.7500 0.8030 0.7872

Results
ΔE_f (raw): -4.32 eV per formula unit


Record 13
DFT (PBE) results for crystalline CeGa2Co2P at its relaxed geometry.

Cell: 4.2415 4.2415 5.5202 Å, 90.00 90.00 90.00°
Site moments in Bohr magnetons follow the coordinates.
Fractional positions:
Co 0.0000 0.5000 0.0000  0.45
Co 0.5000 0.0000 0.0000  0.45
Ga 0.5000 0.5000 0.2619  0.01
Ga 0.5000 0.5000 0.7381  0.01
Ce 0.0000 0.0000 0.5000  0.67
P 0.0000 0.0000 0.0000  0.03

Results
Energy relative to the elements: -0.4886 eV/atom


Record 14
DFT (PBE) results for crystalline CaYI2N at its relaxed geometry.

Cell: 5.9924 5.9924 4.1014 Å, 90.00 90.00 90.00°
Site moments in Bohr magnetons follow the coordinates.
Fractional positions:
Ca 0.0000 0.0000 0.0000  0.00
Y 0.5000 0.5000 0.5000  -0.06
N 0.0000 0.0000 0.5000  0.00
I 0.5000 0.0000 0.0000  0.00
I 0.0000 0.5000 0.0000  0.00

Results
ΔE_f (raw): -0.16 eV per formula unit


Record 15
DFT (PBE) results for crystalline Pd3PbSe at its relaxed geometry.

Cell: 5.8598 5.8933 6.8994 Å, 73.73 74.37 60.99°
Fractional positions:
Pd 0.1641 0.7560 0.8257
Pd 0.9235 0.0460 0.4571
Pd 0.9744 0.5807 0.3169
Pd 0.6240 0.2923 0.8156
Pd 0.1544 0.2753 0.0067
Pd 0.4544 0.0903 0.3298
Pb 0.4470 0.5754 0.4270
Pb 0.6575 0.7786 0.8257
Se 0.8827 0.0217 0.1154
Se 0.1011 0.2333 0.6409

Results
ΔE_f (raw): -1.04 eV per formula unit


Record 16
DFT (PBE) results for crystalline La5YAl6 at its relaxed geometry.

Cell: 5.3347 7.5001 9.2351 Å, 66.04 73.34 90.00°
Fractional positions:
Al 0.8382 0.6024 0.3220
Al 0.8383 0.0756 0.3220
Al 0.5000 0.2247 0.0000
Al 0.5000 0.7753 0.0000
Al 0.1617 0.9244 0.6780
Al 0.1618 0.3976 0.6780
La 0.6762 0.1758 0.6484
La 0.0000 0.5000 0.0000
La 0.3238 0.8242 0.3516
La 0.3373 0.3377 0.3247
La 0.6627 0.6623 0.6753
Y 0.0000 0.0000 0.0000

Results
Energy relative to the elements: -0.3664 eV/atom


Record 17
DFT (PBE) results for crystalline ScBiAu2 at its relaxed geometry.

Cell: 4.1868 4.1868 10.9014 Å, 78.93 78.93 90.00°
Fractional positions:
Bi 0.0000 0.0000 0.0000
Bi 0.7500 0.2500 0.5000
Au 0.6149 0.1250 0.2500
Au 0.1351 0.6250 0.2500
Au 0.3750 0.3851 0.7500
Au 0.8750 0.8649 0.7500
Sc 0.2500 0.7500 0.5000
Sc 0.5000 0.5000 0.0000

Results
Energy relative to the elements: -0.2700 eV/atom


Record 18
DFT (PBE) results for crystalline Pr8RhSe4S3 at its relaxed geometry.

Cell: 8.3892 8.4526 8.3893 Å, 119.75 120.00 90.00°
Fractional positions:
Se 0.0000 0.0000 0.5000
Se 0.5000 0.0000 0.0000
Se 0.5000 0.0000 0.5000
Se 0.0000 0.0000 0.0000
Pr 0.2425 0.7330 0.9905
Pr 0.7575 0.2670 0.0095
Pr 0.2425 0.7330 0.4850
Pr 0.2560 0.2680 0.5120
Pr 0.7575 0.2670 0.5150
Pr 0.2519 0.2670 0.0095
Pr 0.7481 0.7330 0.9905
Pr 0.7440 0.7320 0.4880
S 0.0000 0.5000 0.5000
S 0.5000 0.5000 0.0000
S 0.5000 0.5000 0.5000
Rh 0.0000 0.5000 0.0000

Results
ΔE_f (raw): -28.23 eV per formula unit


Record 19
DFT (PBE) results for crystalline ScP2PdS at its relaxed geometry.

Cell: 4.5939 4.5939 4.8245 Å, 90.00 90.00 90.00°
Fractional positions:
Pd 0.0000 0.0000 0.0000
Sc 0.5000 0.5000 0.5000
S 0.0000 0.0000 0.5000
P 0.0000 0.5000 0.0000
P 0.5000 0.0000 0.0000

Results
ΔE_f (raw): 0.70 eV per formula unit


Record 20
DFT (PBE) results for crystalline Pr3NiI at its relaxed geometry.

Cell: 3.9046 9.7759 8.6193 Å, 90.00 90.00 90.00°
Fractional positions:
I 0.2500 0.7500 0.5521
I 0.7500 0.2500 0.4479
Ni 0.7500 0.2500 0.0050
Ni 0.2500 0.7500 0.9950
Pr 0.2500 0.0742 0.1643
Pr 0.7500 0.7500 0.2195
Pr 0.7500 0.5742 0.8357
Pr 0.2500 0.2500 0.7805
Pr 0.2500 0.4258 0.1643
Pr 0.7500 0.9258 0.8357

Results
ΔE_f (raw): -1.96 eV per formula unit